(1)
A plane-wave DFT calculation with PBE was carried out for crystalline SmHoAg at its relaxed geometry.

Unit cell a=3.814 b=7.219 c=6.768 alpha=96.81 beta=106.36 gamma=105.32
Element x y z (fractional)
Ag (0.447, 0.816, 0.077)
Ag (0.553, 0.184, 0.923)
Sm (0.227, 0.126, 0.328)
Sm (0.773, 0.874, 0.672)
Ho (0.907, 0.558, 0.255)
Ho (0.093, 0.442, 0.745)

Summary:
- relative energy among the computed polymorphs (meV/atom) = 3
- ΔH_f (0 K) (eV/atom) = -0.165
- SG = C2/m
- DFT total energy (eV per atom) = -4.21
- ρ (Mg/m³) = 8.33



(2)
A plane-wave DFT calculation with PBE was carried out for crystalline SmHo4Ag5 at its relaxed geometry.

Unit cell a=3.603 b=3.603 c=18.515 alpha=90.00 beta=90.00 gamma=90.00
Element x y z (fractional)
Ag (0.500, 0.500, 0.500)
Ag (0.500, 0.500, 0.698)
Ag (0.500, 0.500, 0.302)
Ag (0.500, 0.500, 0.107)
Ag (0.500, 0.500, 0.893)
Sm (0.000, 0.000, 0.000)
Ho (0.000, 0.000, 0.401)
Ho (0.000, 0.000, 0.203)
Ho (0.000, 0.000, 0.599)
Ho (0.000, 0.000, 0.797)

Summary:
- ΔH_f (0 K) (eV/atom) = -0.321
- SG = P4/mmm
- DFT total energy (eV per atom) = -4.05
- ρ (Mg/m³) = 9.32



(3)
A plane-wave DFT calculation with PBE was carried out for crystalline Sm3HoAg4 at its relaxed geometry.

Unit cell a=3.676 b=3.676 c=14.849 alpha=90.00 beta=90.00 gamma=90.00
Element x y z (fractional)
Ag (0.000, 0.000, 0.883)
Ag (0.000, 0.000, 0.374)
Ag (0.000, 0.000, 0.626)
Ag (0.000, 0.000, 0.117)
Ho (0.500, 0.500, 0.000)
Sm (0.500, 0.500, 0.500)
Sm (0.500, 0.500, 0.247)
Sm (0.500, 0.500, 0.753)

Summary:
- ΔH_f (0 K) (eV/atom) = -0.292
- SG = P4/mmm
- DFT total energy (eV per atom) = -4.06
- ρ (Mg/m³) = 8.67



(4)
A plane-wave DFT calculation with PBE was carried out for crystalline Sm4HoAg2 at its relaxed geometry.

Unit cell a=5.486 b=5.486 c=9.060 alpha=72.38 beta=72.38 gamma=60.00
Element x y z (fractional)
Ag (0.611, 0.611, 0.166)
Ag (0.389, 0.389, 0.834)
Sm (0.271, 0.271, 0.186)
Sm (0.729, 0.729, 0.814)
Sm (0.873, 0.873, 0.382)
Sm (0.127, 0.127, 0.618)
Ho (0.500, 0.500, 0.500)

Summary:
- ΔH_f (0 K) (eV/atom) = 0.103
- SG = R-3m
- DFT total energy (eV per atom) = -4.06
- ρ (Mg/m³) = 7.37



(5)
A plane-wave DFT calculation with PBE was carried out for crystalline SmHo2Ag4 at its relaxed geometry.

Unit cell a=6.213 b=6.213 c=6.213 alpha=111.39 beta=108.52 gamma=108.52
Element x y z (fractional)
Ag (0.000, 0.500, 0.000)
Ag (0.000, 0.000, 0.500)
Ag (0.500, 0.500, 0.500)
Ag (0.500, 0.000, 0.000)
Ho (0.500, 0.000, 0.500)
Ho (0.500, 0.500, 0.000)
Sm (0.000, 0.000, 0.000)

Summary:
- ΔH_f (0 K) (eV/atom) = -0.084
- SG = I4/mmm
- DFT total energy (eV per atom) = -3.70
- ρ (Mg/m³) = 8.21



(6)
A plane-wave DFT calculation with PBE was carried out for crystalline Sm2Ho6Ag at its relaxed geometry.

Unit cell a=5.422 b=9.766 c=10.123 alpha=90.00 beta=90.00 gamma=90.00
Element x y z (fractional)
Ho (0.500, 0.521, 0.317)
Ho (0.000, 0.316, 0.431)
Ho (0.000, 0.684, 0.569)
Ho (0.500, 0.866, 0.394)
Ho (0.000, 0.979, 0.817)
Ho (0.500, 0.816, 0.069)
Ho (0.500, 0.134, 0.606)
Ho (0.500, 0.184, 0.931)
Ho (0.000, 0.021, 0.183)
Ho (0.500, 0.479, 0.683)
Ho (0.000, 0.634, 0.894)
Ho (0.000, 0.366, 0.106)
Ag (0.000, 0.000, 0.500)
Ag (0.500, 0.500, 0.000)
Sm (0.500, 0.193, 0.257)
Sm (0.500, 0.807, 0.743)
Sm (0.000, 0.693, 0.243)
Sm (0.000, 0.307, 0.757)

Summary:
- ΔH_f (0 K) (eV/atom) = 0.030
- SG = Pnnm
- DFT total energy (eV per atom) = -4.39
- ρ (Mg/m³) = 8.66



(7)
A plane-wave DFT calculation with PBE was carried out for crystalline Sm3Ho2Ag2 at its relaxed geometry.

Unit cell a=3.741 b=6.775 c=9.245 alpha=114.35 beta=90.00 gamma=106.03
Element x y z (fractional)
Ag (0.824, 0.647, 0.777)
Ag (0.176, 0.353, 0.223)
Sm (0.610, 0.219, 0.445)
Sm (0.500, 0.000, 0.000)
Sm (0.390, 0.781, 0.555)
Ho (0.853, 0.706, 0.187)
Ho (0.147, 0.294, 0.813)

Summary:
- relative energy among the computed polymorphs (meV/atom) = 0
- ΔH_f (0 K) (eV/atom) = -0.117
- SG = C2/m
- DFT total energy (eV per atom) = -4.26
- ρ (Mg/m³) = 8.14



(8)
A plane-wave DFT calculation with PBE was carried out for crystalline SmHoAg at its relaxed geometry.

Unit cell a=4.781 b=4.781 c=7.521 alpha=90.00 beta=90.00 gamma=90.00
Element x y z (fractional)
Ag (0.000, 0.500, 0.258)
Ag (0.500, 0.000, 0.742)
Sm (0.000, 0.500, 0.871)
Sm (0.500, 0.000, 0.129)
Ho (0.500, 0.500, 0.500)
Ho (0.000, 0.000, 0.500)

Summary:
- relative energy among the computed polymorphs (meV/atom) = 53
- ΔH_f (0 K) (eV/atom) = -0.114
- SG = P4/nmm
- DFT total energy (eV per atom) = -4.16
- ρ (Mg/m³) = 8.18



(9)
A plane-wave DFT calculation with PBE was carried out for crystalline SmHo2Ag2 at its relaxed geometry.

Unit cell a=3.642 b=5.295 c=13.567 alpha=90.00 beta=97.69 gamma=90.00
Element x y z (fractional)
Ho (0.765, 0.250, 0.531)
Ho (0.952, 0.250, 0.905)
Ho (0.048, 0.750, 0.095)
Ho (0.235, 0.750, 0.469)
Ag (0.643, 0.750, 0.285)
Ag (0.545, 0.250, 0.090)
Ag (0.357, 0.250, 0.715)
Ag (0.455, 0.750, 0.910)
Sm (0.146, 0.250, 0.291)
Sm (0.854, 0.750, 0.709)

Summary:
- relative energy among the computed polymorphs (meV/atom) = 0
- ΔH_f (0 K) (eV/atom) = -0.231
- SG = P2_1/m
- DFT total energy (eV per atom) = -4.15
- ρ (Mg/m³) = 8.91



(10)
A plane-wave DFT calculation with PBE was carried out for crystalline Sm4HoAg at its relaxed geometry.

Unit cell a=3.620 b=3.620 c=14.075 alpha=90.00 beta=90.00 gamma=90.00
Element x y z (fractional)
Sm (0.500, 0.500, 0.823)
Sm (0.500, 0.500, 0.177)
Sm (0.000, 0.000, 0.639)
Sm (0.000, 0.000, 0.361)
Ag (0.500, 0.500, 0.500)
Ho (0.000, 0.000, 0.000)

Summary:
- relative energy among the computed polymorphs (meV/atom) = 0
- ΔH_f (0 K) (eV/atom) = -0.071
- SG = P4/mmm
- DFT total energy (eV per atom) = -4.46
- ρ (Mg/m³) = 7.87



(11)
A plane-wave DFT calculation with PBE was carried out for crystalline Sm3Ho2Ag3 at its relaxed geometry.

Unit cell a=3.693 b=5.353 c=11.379 alpha=103.61 beta=99.34 gamma=90.00
Element x y z (fractional)
Ag (0.000, 0.500, 0.000)
Ag (0.120, 0.120, 0.241)
Ag (0.880, 0.880, 0.759)
Sm (0.622, 0.622, 0.243)
Sm (0.500, 0.000, 0.000)
Sm (0.378, 0.378, 0.757)
Ho (0.732, 0.232, 0.464)
Ho (0.268, 0.768, 0.536)

Summary:
- ΔH_f (0 K) (eV/atom) = -0.203
- SG = Immm
- DFT total energy (eV per atom) = -4.19
- ρ (Mg/m³) = 8.51



(12)
A plane-wave DFT calculation with PBE was carried out for crystalline Sm3HoAg2 at its relaxed geometry.

Unit cell a=7.092 b=7.586 c=8.775 alpha=115.61 beta=113.84 gamma=90.00
Element x y z (fractional)
Ag (0.840, 0.141, 0.282)
Ag (0.442, 0.641, 0.282)
Ag (0.160, 0.859, 0.718)
Ag (0.558, 0.359, 0.718)
Sm (0.225, 0.475, 0.451)
Sm (0.500, 0.250, 0.000)
Sm (0.500, 0.750, 0.000)
Sm (0.775, 0.025, 0.549)
Sm (0.225, 0.975, 0.451)
Sm (0.775, 0.525, 0.549)
Ho (0.000, 0.000, 0.000)
Ho (0.000, 0.500, 0.000)

Summary:
- relative energy among the computed polymorphs (meV/atom) = 226
- ΔH_f (0 K) (eV/atom) = 0.055
- SG = Ibam
- DFT total energy (eV per atom) = -4.02
- ρ (Mg/m³) = 7.26



(13)
A plane-wave DFT calculation with PBE was carried out for crystalline Sm3Ho2Ag2 at its relaxed geometry.

Unit cell a=15.578 b=15.578 c=3.611 alpha=90.00 beta=90.00 gamma=166.52
Site moments in Bohr magnetons follow the coordinates.
Element x y z (fractional)
Sm (0.124, 0.876, 0.000)  0.13
Sm (0.000, 0.000, 0.000)  0.06
Sm (0.876, 0.124, 0.000)  0.13
Ho (0.297, 0.703, 0.500)  0.28
Ho (0.703, 0.297, 0.500)  0.28
Ag (0.561, 0.439, 0.500)  0.01
Ag (0.439, 0.561, 0.500)  0.01

Summary:
- relative energy among the computed polymorphs (meV/atom) = 55
- ΔH_f (0 K) (eV/atom) = -0.062
- SG = Cmmm
- DFT total energy (eV per atom) = -4.21
- ρ (Mg/m³) = 8.10



(14)
A plane-wave DFT calculation with PBE was carried out for crystalline Sm5HoAg4 at its relaxed geometry.

Unit cell a=3.678 b=3.678 c=19.997 alpha=90.00 beta=90.00 gamma=90.00
Element x y z (fractional)
Ag (0.000, 0.000, 0.217)
Ag (0.000, 0.000, 0.406)
Ag (0.000, 0.000, 0.594)
Ag (0.000, 0.000, 0.783)
Sm (0.500, 0.500, 0.877)
Sm (0.500, 0.500, 0.500)
Sm (0.500, 0.500, 0.689)
Sm (0.500, 0.500, 0.123)
Sm (0.500, 0.500, 0.311)
Ho (0.000, 0.000, 0.000)

Summary:
- ΔH_f (0 K) (eV/atom) = -0.212
- SG = P4/mmm
- DFT total energy (eV per atom) = -4.17
- ρ (Mg/m³) = 8.28



(15)
A plane-wave DFT calculation with PBE was carried out for crystalline SmHoAg at its relaxed geometry.

Unit cell a=3.603 b=3.603 c=6.866 alpha=105.21 beta=105.21 gamma=90.00
Site moments in Bohr magnetons follow the coordinates.
Element x y z (fractional)
Ho (0.313, 0.313, 0.625)  0.15
Sm (0.014, 0.014, 0.029)  0.11
Ag (0.673, 0.673, 0.346)  0.00

Summary:
- relative energy among the computed polymorphs (meV/atom) = 0
- ΔH_f (0 K) (eV/atom) = -0.168
- SG = I4mm
- DFT total energy (eV per atom) = -4.22
- ρ (Mg/m³) = 8.49



(16)
A plane-wave DFT calculation with PBE was carried out for crystalline SmHo5Ag4 at its relaxed geometry.

Unit cell a=3.594 b=3.594 c=19.697 alpha=90.00 beta=90.00 gamma=90.00
Element x y z (fractional)
Ho (0.500, 0.500, 0.872)
Ho (0.500, 0.500, 0.313)
Ho (0.500, 0.500, 0.128)
Ho (0.500, 0.500, 0.687)
Ho (0.500, 0.500, 0.500)
Ag (0.000, 0.000, 0.407)
Ag (0.000, 0.000, 0.220)
Ag (0.000, 0.000, 0.780)
Ag (0.000, 0.000, 0.593)
Sm (0.000, 0.000, 0.000)

Summary:
- ΔH_f (0 K) (eV/atom) = -0.253
- SG = P4/mmm
- DFT total energy (eV per atom) = -4.15
- ρ (Mg/m³) = 9.18



(17)
A plane-wave DFT calculation with PBE was carried out for crystalline SmHoAg at its relaxed geometry.

Unit cell a=3.701 b=5.073 c=5.073 alpha=120.00 beta=90.00 gamma=90.00
Element x y z (fractional)
Sm (0.621, 0.667, 0.333)
Ho (0.077, 0.000, 0.000)
Ag (0.302, 0.333, 0.667)

Summary:
- relative energy among the computed polymorphs (meV/atom) = 141
- ΔH_f (0 K) (eV/atom) = -0.027
- SG = P3m1
- DFT total energy (eV per atom) = -4.08
- ρ (Mg/m³) = 8.52



(18)
A plane-wave DFT calculation with PBE was carried out for crystalline SmHo2Ag at its relaxed geometry.

Unit cell a=3.562 b=3.562 c=10.684 alpha=80.40 beta=80.40 gamma=60.00
Element x y z (fractional)
Ho (0.741, 0.741, 0.778)
Ho (0.259, 0.259, 0.222)
Ag (0.000, 0.000, 0.000)
Sm (0.500, 0.500, 0.500)

Summary:
- relative energy among the computed polymorphs (meV/atom) = 117
- ΔH_f (0 K) (eV/atom) = -0.017
- SG = R-3m
- DFT total energy (eV per atom) = -4.20
- ρ (Mg/m³) = 8.48



(19)
A plane-wave DFT calculation with PBE was carried out for crystalline Sm2HoAg2 at its relaxed geometry.

Unit cell a=3.687 b=5.291 c=13.733 alpha=90.00 beta=97.70 gamma=90.00
Element x y z (fractional)
Sm (0.047, 0.750, 0.094)
Sm (0.953, 0.250, 0.906)
Sm (0.765, 0.250, 0.531)
Sm (0.235, 0.750, 0.469)
Ag (0.550, 0.250, 0.101)
Ag (0.358, 0.250, 0.717)
Ag (0.642, 0.750, 0.283)
Ag (0.450, 0.750, 0.899)
Ho (0.855, 0.750, 0.710)
Ho (0.145, 0.250, 0.290)

Summary:
- relative energy among the computed polymorphs (meV/atom) = 0
- ΔH_f (0 K) (eV/atom) = -0.209
- SG = Cmcm
- DFT total energy (eV per atom) = -4.15
- ρ (Mg/m³) = 8.52



(20)
A plane-wave DFT calculation with PBE was carried out for crystalline SmHo2Ag at its relaxed geometry.

Unit cell a=4.992 b=6.410 c=7.886 alpha=90.00 beta=90.00 gamma=112.90
Element x y z (fractional)
Ho (0.356, 0.713, 0.536)
Ho (0.644, 0.287, 0.036)
Ho (0.644, 0.287, 0.464)
Ho (0.356, 0.713, 0.964)
Sm (0.948, 0.895, 0.250)
Sm (0.052, 0.105, 0.750)
Ag (0.206, 0.412, 0.250)
Ag (0.794, 0.588, 0.750)

Summary:
- relative energy among the computed polymorphs (meV/atom) = 60
- ΔH_f (0 K) (eV/atom) = -0.074
- SG = Cmcm
- DFT total energy (eV per atom) = -4.26
- ρ (Mg/m³) = 8.40